5
Lattice="-3.002 -1.796 0.781 0.211 -1.718 -3.139 3.411 -4.523 2.705" Properties=species:S:1:pos:R:3 comment="CuSN2F (PBE, relaxed)" spacegroup="No. 123" e_tot_ev_per_atom=-3.16 e_form_raw_kj_per_mol_atoms=211.0 magmom_total_mub_per_atom=0.68 pbc="T T T"
N -1.501 -0.898 0.391
N 0.105 -0.859 -1.569
S 1.705 -2.262 1.352
F 0.000 0.000 0.000
Cu 0.310 -4.019 0.174

=====

3
Lattice="-3.334 -2.629 -0.618 -1.144 -2.360 3.395 0.808 4.151 -0.719" Properties=species:S:1:pos:R:3 comment="BeSiPt (PBE, relaxed)" spacegroup="No. 107" e_tot_ev_per_atom=-5.48 e_form_raw_kj_per_mol_atoms=-40.1 magmom_total_mub_per_atom=0.00 pbc="T T T"
Pt -1.488 -1.658 0.923
Si -3.006 -3.349 1.865
Be -4.461 -4.970 2.767

=====

12
Lattice="6.491 -0.310 0.189 0.435 6.713 2.848 -0.193 -0.150 9.754" Properties=species:S:1:pos:R:3 comment="IrBr4Cl (PBE, relaxed)" spacegroup="No. 15" e_tot_ev_per_atom=-3.08 e_form_raw_kj_per_mol_atoms=-17.2 magmom_total_mub_per_atom=0.00 pbc="T T T"
Cl 1.623 2.174 8.794
Cl 5.110 4.079 3.996
Br 4.228 6.255 4.803
Br 3.971 4.859 8.045
Br 2.505 -0.002 7.988
Br 0.736 4.303 9.713
Br 5.933 0.603 6.350
Br 2.762 1.393 4.746
Br 5.996 1.950 3.078
Br 0.800 5.650 6.441
Ir 1.919 6.198 8.634
Ir 4.814 0.055 4.156

=====

4
Lattice="-0.122 3.322 -0.312 -4.721 -0.068 1.127 0.960 0.415 4.044" Properties=species:S:1:pos:R:3 comment="ZrCr (PBE, relaxed)" spacegroup="No. 65" e_tot_ev_per_atom=-8.66 magmom_total_mub_per_atom=0.00 delta_e_f_mev_per_atom=430 pbc="T T T"
Cr -1.542 2.008 4.115
Cr 0.880 0.381 3.708
Zr -1.961 0.139 2.249
Zr 0.339 1.834 1.529

=====

5
Lattice="4.572 0.006 -0.044 -1.579 5.777 0.028 -1.029 -2.031 5.792" Properties=species:S:1:pos:R:3 comment="RbTlZnGeSe (PBE, relaxed)" spacegroup="No. 1" e_tot_ev_per_atom=-2.78 e_form_raw_kj_per_mol_atoms=-23.0 magmom_total_mub_per_atom=0.00 pbc="T T T"
Ge 0.378 1.671 2.126
Zn 2.656 2.508 2.683
Tl 3.024 0.308 4.588
Se 0.652 -0.846 2.876
Rb 1.255 5.113 0.274

=====

5
Lattice="-3.470 -5.390 0.315 -0.033 -0.368 -6.652 5.399 -3.467 0.165" Properties=species:S:1:pos:R:3 comment="CsSrLiCa2 (PBE, relaxed)" spacegroup="No. 123" e_tot_ev_per_atom=-0.72 magmom_total_mub_per_atom=0.67 delta_e_f_mev_per_atom=974 pbc="T T T"
Li 0.948 -4.612 -3.086
Ca 2.699 -1.733 0.082
Ca -1.735 -2.695 0.157
Cs 0.000 0.000 0.000
Sr -0.016 -0.184 -3.326

=====

12
Lattice="-0.694 1.630 4.456 -3.631 -1.694 2.634 1.993 -4.184 4.421" Properties=species:S:1:pos:R:3 comment="CaInH8Rh2 (PBE, relaxed)" spacegroup="No. 166" e_tot_ev_per_atom=-3.95 magmom_total_mub_per_atom=0.00 pbc="T T T"
H -1.610 -2.102 3.102
H 0.307 -1.211 1.705
H 0.060 -1.841 3.263
H -2.639 -3.037 9.806
H -2.391 -2.407 8.248
H -0.721 -2.145 8.409
H -2.277 -3.902 7.451
H -0.055 -0.346 4.060
Ca -1.166 -2.124 5.755
Rh -0.876 -0.707 2.702
Rh -1.455 -3.541 8.809
In 0.000 0.000 0.000

=====

5
Lattice="5.280 0.000 0.000 0.000 5.280 0.000 0.000 0.000 5.280" Properties=species:S:1:pos:R:3 comment="Ti3BiO (PBE, relaxed)" spacegroup="No. 221" e_tot_ev_per_atom=-5.04 e_form_raw_kj_per_mol_atoms=141.2 magmom_total_mub_per_atom=1.34 pbc="T T T"
Ti 0.000 2.640 0.000
Ti 0.000 0.000 2.640
Ti 2.640 0.000 0.000
Bi 0.000 0.000 0.000
O 2.640 2.640 2.640

=====

6
Lattice="-0.785 4.765 3.900 -2.920 2.568 4.839 3.817 -1.422 5.353" Properties=species:S:1:pos:R:3 comment="Mg2Ga (PBE, relaxed)" spacegroup="No. 12" e_tot_ev_per_atom=-2.17 magmom_total_mub_per_atom=0.00 delta_e_f_mev_per_atom=-94 pbc="T T T"
Mg -0.648 2.106 3.457
Mg 0.759 3.805 10.635
Mg 0.828 -0.185 1.450
Mg -0.716 6.095 12.642
Ga 0.783 1.751 5.880
Ga -0.671 4.160 8.212

=====

3
Lattice="-0.556 0.207 -4.789 2.708 -2.782 -2.866 -2.001 -3.703 -2.359" Properties=species:S:1:pos:R:3 comment="NdTmRu (PBE, relaxed)" spacegroup="No. 216" e_tot_ev_per_atom=-6.39 magmom_total_mub_per_atom=0.00 delta_e_f_mev_per_atom=-221 pbc="T T T"
Ru 0.038 -1.569 -2.503
Tm 0.000 0.000 0.000
Nd 0.076 -3.139 -5.007

=====

12
Lattice="-1.065 -1.075 3.789 -4.943 -5.829 -3.043 8.295 -3.715 -0.918" Properties=species:S:1:pos:R:3 comment="Pm2Y3ScSe6 (PBE, relaxed)" spacegroup="No. 12" e_tot_ev_per_atom=-6.43 e_form_raw_kj_per_mol_atoms=-168.6 magmom_total_mub_per_atom=0.00 pbc="T T T"
Se 3.195 -5.260 -0.593
Se 0.699 -8.295 -2.156
Se -0.908 -5.358 0.422
Se 5.996 -6.142 2.141
Se 1.588 -2.324 1.984
Se -3.709 -4.477 -2.313
Pm 0.952 -3.379 -0.690
Pm 1.335 -7.240 0.519
Sc -0.533 -0.537 1.895
Y 3.744 -4.287 2.034
Y -1.457 -6.332 -2.205
Y -3.004 -3.452 0.373

=====

8
Lattice="7.260 0.000 0.000 3.630 6.288 0.000 3.630 2.096 5.928" Properties=species:S:1:pos:R:3 comment="Pr7Cd (PBE, relaxed)" spacegroup="No. 225" e_tot_ev_per_atom=-4.34 magmom_total_mub_per_atom=0.00 delta_e_f_mev_per_atom=-47 pbc="T T T"
Pr 3.630 0.000 0.000
Pr 5.445 1.048 2.964
Pr 5.445 3.144 0.000
Pr 7.260 4.192 2.964
Pr 1.815 3.144 0.000
Pr 1.815 1.048 2.964
Pr 3.630 4.192 2.964
Cd 0.000 0.000 0.000